[1]
Entry from Alexandria: a PBEsol-optimized structure of Ba2LaFe (SCAN).

Cell and atoms, written as CIF:
```
data_Ba2LaFe
_symmetry_space_group_name_H-M 'F m -3 m'
_symmetry_Int_Tables_number 225
_symmetry_space_group_name_Hall '-F 4 2 3'
_cell_length_a 8.0103
_cell_length_b 8.0103
_cell_length_c 8.0103
_cell_angle_alpha 90.00
_cell_angle_beta 90.00
_cell_angle_gamma 90.00
loop_
_atom_site_label
_atom_site_type_symbol
_atom_site_fract_x
_atom_site_fract_y
_atom_site_fract_z
Ba1 Ba 0.2500 0.2500 0.2500
La1 La 0.0000 0.0000 0.0000
Fe1 Fe 0.0000 0.0000 0.5000
```

For the final energy, the calculation gives -34.39 eV/atom.



[2]
Entry from Alexandria: a PBEsol-optimized structure of K2CoMo (SCAN).

Cell and atoms, written as CIF:
```
data_K2CoMo
_symmetry_space_group_name_H-M 'P 1 2/m 1'
_symmetry_Int_Tables_number 10
_cell_length_a 2.6725
_cell_length_b 5.8035
_cell_length_c 5.1133
_cell_angle_alpha 90.00
_cell_angle_beta 98.61
_cell_angle_gamma 90.00
loop_
_symmetry_equiv_pos_as_xyz
'x,y,z'
'-x,-y,-z'
'-x,y,-z'
'x,-y,z'
loop_
_atom_site_label
_atom_site_type_symbol
_atom_site_fract_x
_atom_site_fract_y
_atom_site_fract_z
K1 K 0.2013 0.0000 0.2582
Co1 Co 0.0000 0.5000 0.5000
Mo1 Mo 0.5000 0.5000 0.0000
```

For the final energy, the calculation gives -15.74 eV/atom.



[3]
Entry from Alexandria: a PBEsol-optimized structure of NiCl (SCAN).

Cell and atoms, written as CIF:
```
data_NiCl
_symmetry_space_group_name_H-M 'P 4/n m m'
_symmetry_Int_Tables_number 129
_cell_length_a 3.1924
_cell_length_b 3.1924
_cell_length_c 6.1669
_cell_angle_alpha 90.00
_cell_angle_beta 90.00
_cell_angle_gamma 90.00
loop_
_symmetry_equiv_pos_as_xyz
'x,y,z'
'-x,-y,-z'
'-y+1/2,x,z'
'y+1/2,-x,-z'
'-x+1/2,-y+1/2,z'
'x+1/2,y+1/2,-z'
'y,-x+1/2,z'
'-y,x+1/2,-z'
'x+1/2,-y,-z'
'-x+1/2,y,z'
'-y,-x,-z'
'y,x,z'
'-x,y+1/2,-z'
'x,-y+1/2,z'
'y+1/2,x+1/2,-z'
'-y+1/2,-x+1/2,z'
loop_
_atom_site_label
_atom_site_type_symbol
_atom_site_fract_x
_atom_site_fract_y
_atom_site_fract_z
Ni1 Ni 0.2500 0.2500 0.0917
Cl1 Cl 0.2500 0.2500 0.7312
```

The formation energy from raw total energies is -10.8 kJ/mol of atoms.



[4]
Entry from Alexandria: a PBEsol-optimized structure of AsOsW (SCAN).

Cell and atoms, written as CIF:
```
data_AsOsW
_symmetry_space_group_name_H-M 'F -4 3 m'
_symmetry_Int_Tables_number 216
_symmetry_space_group_name_Hall 'F -4 2 3'
_cell_length_a 5.9309
_cell_length_b 5.9309
_cell_length_c 5.9309
_cell_angle_alpha 90.00
_cell_angle_beta 90.00
_cell_angle_gamma 90.00
loop_
_atom_site_label
_atom_site_type_symbol
_atom_site_fract_x
_atom_site_fract_y
_atom_site_fract_z
As1 As 0.0000 0.0000 0.0000
Os1 Os 0.0000 0.0000 0.5000
W1 W 0.2500 0.2500 0.7500
```

For the final energy, the calculation gives -53.48 eV/atom.